A relaxed InAsNF2 crystal. Source: the Alexandria database, functional GGA-PBEsol.

## Properties
The calculation puts the raw total energy at -4.7181 eV/atom. The uncorrected formation energy comes out at -624 meV/atom. As for the mass density: 5.50 g cm⁻³. The calculation puts the density of states at the Fermi level at 0.18 states/eV per atom. The spin magnetization is 0.0 Bohr magnetons per cell.

The structure in POSCAR format:
```
InAsNF2
1.0
-1.0987 2.5627 2.4573
0.2256 -3.0134 3.2436
4.2290 1.1081 0.7353
F N As In
2 1 1 1
direct
0.0000 0.0000 0.5000
0.0000 0.5000 0.0000
0.5000 0.0000 0.0000
0.0000 0.0000 0.0000
0.5000 0.5000 0.5000
```